VASP calculation (GGA-PBE) on crystalline RuRh2W at its relaxed geometry.

Output
E_tot, eV per atom: -9.284
DOS(E_F), states/eV per atom: 1.033
Energy above the most stable polymorph in this dataset, meV/atom: 132
SG: No. 8

```
data_RuRh2W
_chemical_formula_sum 'Ru1 Rh2 W1'
_cell_length_a 4.733
_cell_length_b 4.733
_cell_length_c 4.777
_cell_angle_alpha 99.36
_cell_angle_beta 99.36
_cell_angle_gamma 33.53
_symmetry_space_group_name_H-M 'P 1'
_symmetry_Int_Tables_number 1
_symmetry_space_group_name_Hall 'P 1'
loop_
_atom_site_label
_atom_site_type_symbol
_atom_site_fract_x
_atom_site_fract_y
_atom_site_fract_z
Ru1 Ru 0.000 0.000 0.000
Rh1 Rh 0.503 0.503 0.498
Rh2 Rh 0.747 0.747 0.235
W1 W 0.251 0.251 0.740
```